# LiVHg3 (GGA-PBE, relaxed)
data_LiVHg3
_chemical_formula_sum 'Li1 V1 Hg3'
_space_group_name_H-M_alt 'P m -3 m'
_space_group_IT_number 221
_space_group_name_Hall '-P 4 2 3'
_cell_length_a 5.318
_cell_length_b 5.318
_cell_length_c 5.318
_cell_angle_alpha 90.00
_cell_angle_beta 90.00
_cell_angle_gamma 90.00
loop_
_atom_site_label
_atom_site_type_symbol
_atom_site_fract_x
_atom_site_fract_y
_atom_site_fract_z
Li1 Li 0.000 0.000 0.000
V1 V 0.500 0.500 0.500
Hg1 Hg 0.000 0.500 0.500
# * distance to the lowest polymorph of the same formula: 0.000 eV/atom
# * E_form: 399 meV/atom
# * magnetic moment: 3.40 Bohr magnetons per cell
# * DFT total energy: -1.988 eV/atom

# LiHgW (GGA-PBE, relaxed)
data_LiHgW
_chemical_formula_sum 'Li4 Hg4 W4'
_space_group_name_H-M_alt 'F -4 3 m'
_space_group_IT_number 216
_space_group_name_Hall 'F -4 2 3'
_cell_length_a 6.311
_cell_length_b 6.311
_cell_length_c 6.311
_cell_angle_alpha 90.00
_cell_angle_beta 90.00
_cell_angle_gamma 90.00
loop_
_atom_site_label
_atom_site_type_symbol
_atom_site_fract_x
_atom_site_fract_y
_atom_site_fract_z
Li1 Li 0.000 0.000 0.000
Hg1 Hg 0.000 0.000 0.500
W1 W 0.250 0.250 0.250
# * distance to the lowest polymorph of the same formula: 1.021 eV/atom
# * E_form: 1519 meV/atom
# * magnetic moment: 5.68 Bohr magnetons per cell
# * DFT total energy: -3.537 eV/atom